No. 1
VASP calculation (PBE-GGA) on a relaxed ZnNi2S5 crystal.

Cell: 3.588 13.340 6.383 Å, 90.00 90.00 90.00°
Element x y z (fractional)
Zn  0.250  0.250  0.088
Zn  0.750  0.750  0.912
Ni  0.250  0.605  0.481
Ni  0.250  0.895  0.481
Ni  0.750  0.105  0.519
Ni  0.750  0.395  0.519
S  0.250  0.049  0.351
S  0.250  0.451  0.351
S  0.250  0.670  0.162
S  0.250  0.750  0.660
S  0.250  0.830  0.162
S  0.750  0.170  0.838
S  0.750  0.250  0.340
S  0.750  0.330  0.838
S  0.750  0.549  0.649
S  0.750  0.951  0.649

## Properties
Energy relative to the elements, uncorrected = -22 kJ/mol of atoms
Total moment = 0.000 μB per cell
Symmetry = No. 59

No. 2
VASP calculation (PBE-GGA) on a relaxed Tb2ErSc crystal.

Cell: 6.069 3.502 11.377 Å, 90.00 100.27 90.00°
Element x y z (fractional)
Tb  0.000  0.000  0.000
Tb  0.161  0.000  0.482
Tb  0.500  0.500  0.000
Tb  0.661  0.500  0.482
Er  0.081  0.500  0.741
Er  0.581  0.000  0.741
Sc  0.414  0.000  0.242
Sc  0.914  0.500  0.242

## Properties
ΔH_f (0 K) = 0.034 eV/atom
Total moment = 0.001 μB per cell
Symmetry = No. 8
Energy above the lowest structure with this stoichiometry = 0.000 eV per atom

No. 3
VASP calculation (PBE-GGA) on a relaxed Tl2ZnH crystal.

Cell: 5.507 5.507 12.880 Å, 90.00 90.00 90.00°
Element x y z (fractional)
Tl  0.167  0.250  0.125
Tl  0.250  0.667  0.375
Tl  0.250  0.833  0.875
Tl  0.333  0.250  0.625
Tl  0.667  0.750  0.625
Tl  0.750  0.167  0.875
Tl  0.750  0.333  0.375
Tl  0.833  0.750  0.125
Zn  0.000  0.000  0.500
Zn  0.000  0.500  0.750
Zn  0.500  0.000  0.250
Zn  0.500  0.500  0.000
H  0.000  0.000  0.000
H  0.000  0.500  0.250
H  0.500  0.000  0.750
H  0.500  0.500  0.500

## Properties
Total moment = 0.000 μB per cell
Symmetry = No. 122
Energy above the lowest structure with this stoichiometry = 0.000 eV per atom

No. 4
VASP calculation (PBE-GGA) on a relaxed Pr2NdYTm crystal.

Cell: 5.878 5.878 11.072 Å, 90.00 90.00 108.50°
Element x y z (fractional)
Pr  0.247  0.247  0.000
Pr  0.247  0.247  0.500
Pr  0.753  0.753  0.000
Pr  0.753  0.753  0.500
Nd  0.392  0.608  0.750
Nd  0.608  0.392  0.250
Y  0.258  0.742  0.250
Y  0.742  0.258  0.750
Tm  0.079  0.921  0.750
Tm  0.921  0.079  0.250

## Properties
ΔH_f (0 K) = 0.345 eV/atom
Total moment = 0.000 μB per cell
Symmetry = No. 63

No. 5
VASP calculation (PBE-GGA) on a relaxed MnBe3Cr crystal.

Cell: 3.823 3.823 3.823 Å, 90.00 90.00 90.00°
Element x y z (fractional)
Mn  0.000  0.000  0.000
Be  0.000  0.000  0.500
Be  0.000  0.500  0.000
Be  0.500  0.000  0.000
Cr  0.500  0.500  0.500

## Properties
ΔH_f (0 K) = 1.088 eV/atom
Total moment = 0.038 μB per cell
Symmetry = No. 221

No. 6
VASP calculation (PBE-GGA) on a relaxed NdMg4Ir2 crystal.

Cell: 8.206 8.206 4.225 Å, 90.00 90.00 90.00°
Element x y z (fractional)
Nd  0.000  0.000  0.000
Nd  0.500  0.500  0.500
Mg  0.096  0.338  0.500
Mg  0.162  0.596  0.000
Mg  0.338  0.096  0.500
Mg  0.404  0.838  0.000
Mg  0.596  0.162  0.000
Mg  0.662  0.904  0.500
Mg  0.838  0.404  0.000
Mg  0.904  0.662  0.500
Ir  0.204  0.796  0.500
Ir  0.296  0.296  0.000
Ir  0.704  0.704  0.000
Ir  0.796  0.204  0.500

## Properties
ΔH_f (0 K) = -0.381 eV/atom
Total moment = 0.000 μB per cell
Symmetry = No. 136

No. 7
VASP calculation (PBE-GGA) on a relaxed SrMoRu4 crystal.

Cell: 5.248 5.248 5.248 Å, 60.00 60.00 60.00°
Element x y z (fractional)
Sr  0.000  0.000  0.000
Mo  0.750  0.750  0.750
Ru  0.375  0.375  0.375
Ru  0.375  0.375  0.874
Ru  0.375  0.874  0.375
Ru  0.874  0.375  0.375

## Properties
ΔH_f (0 K) = 0.521 eV/atom
Total moment = 0.000 μB per cell
Symmetry = No. 216

No. 8
VASP calculation (PBE-GGA) on a relaxed AcNiAs2 crystal.

Cell: 4.490 4.490 4.388 Å, 90.00 90.00 90.00°
Element x y z (fractional)
Ac  0.000  0.000  0.000
Ni  0.500  0.500  0.000
As  0.000  0.500  0.500
As  0.500  0.000  0.500

## Properties
ΔH_f (0 K) = -0.279 eV/atom
Total moment = 0.184 μB per cell
Symmetry = No. 123
Energy above the lowest structure with this stoichiometry = 0.574 eV per atom

No. 9
VASP calculation (PBE-GGA) on a relaxed UGaPd4 crystal.

Cell: 5.326 5.326 5.326 Å, 60.00 60.00 60.00°
Element x y z (fractional)
U  0.000  0.000  0.000
Ga  0.750  0.750  0.750
Pd  0.376  0.376  0.376
Pd  0.376  0.376  0.873
Pd  0.376  0.873  0.376
Pd  0.873  0.376  0.376

## Properties
ΔH_f (0 K) = -0.353 eV/atom
Total moment = 2.172 μB per cell
Symmetry = No. 216
Energy above the lowest structure with this stoichiometry = 0.061 eV per atom

No. 10
VASP calculation (PBE-GGA) on a relaxed Hg3BiPb7 crystal.

Cell: 19.102 19.102 12.843 Å, 90.04 90.04 169.89°
Element x y z (fractional)
Hg  0.020  0.980  0.750
Hg  0.039  0.704  0.007
Hg  0.296  0.961  0.493
Hg  0.704  0.039  0.507
Hg  0.961  0.296  0.993
Hg  0.980  0.020  0.250
Bi  0.187  0.813  0.750
Bi  0.813  0.187  0.250
Pb  0.126  0.340  0.366
Pb  0.177  0.823  0.250
Pb  0.212  0.285  0.028
Pb  0.246  0.730  0.613
Pb  0.270  0.754  0.887
Pb  0.285  0.212  0.528
Pb  0.340  0.126  0.866
Pb  0.660  0.874  0.134
Pb  0.715  0.788  0.472
Pb  0.730  0.246  0.113
Pb  0.754  0.270  0.387
Pb  0.788  0.715  0.972
Pb  0.823  0.177  0.750
Pb  0.874  0.660  0.634

## Properties
ΔH_f (0 K) = 0.107 eV/atom
Total moment = 0.000 μB per cell
Symmetry = No. 15
Energy above the lowest structure with this stoichiometry = 0.065 eV per atom

No. 11
VASP calculation (PBE-GGA) on a relaxed Er8InRu2 crystal.

Cell: 7.833 7.833 5.385 Å, 97.57 97.57 112.51°
Element x y z (fractional)
Er  0.065  0.330  0.578
Er  0.248  0.752  0.000
Er  0.330  0.065  0.578
Er  0.385  0.385  0.199
Er  0.615  0.615  0.801
Er  0.670  0.935  0.422
Er  0.752  0.248  0.000
Er  0.935  0.670  0.422
In  0.000  0.000  0.000
Ru  0.314  0.686  0.500
Ru  0.686  0.314  0.500

## Properties
ΔH_f (0 K) = -0.276 eV/atom
Total moment = 0.000 μB per cell
Symmetry = No. 12
Energy above the lowest structure with this stoichiometry = 0.000 eV per atom

No. 12
VASP calculation (PBE-GGA) on a relaxed TaReOs crystal.

Cell: 9.485 4.481 5.743 Å, 90.00 126.79 90.00°
Element x y z (fractional)
Ta  0.022  0.000  0.275
Ta  0.478  0.500  0.725
Ta  0.522  0.500  0.275
Ta  0.978  0.000  0.725
Re  0.159  0.500  0.102
Re  0.341  0.000  0.898
Re  0.659  0.000  0.102
Re  0.841  0.500  0.898
Os  0.174  0.500  0.672
Os  0.326  0.000  0.328
Os  0.674  0.000  0.672
Os  0.826  0.500  0.328

## Properties
ΔH_f (0 K) = 0.062 eV/atom
Total moment = 0.000 μB per cell
Symmetry = No. 12
Energy above the lowest structure with this stoichiometry = 0.149 eV per atom

No. 13
VASP calculation (PBE-GGA) on a relaxed PrHfSc2 crystal.

Cell: 4.736 4.736 4.626 Å, 90.00 90.00 90.00°
Element x y z (fractional)
Pr  0.000  0.000  0.000
Hf  0.500  0.500  0.000
Sc  0.000  0.500  0.500
Sc  0.500  0.000  0.500

## Properties
ΔH_f (0 K) = 0.145 eV/atom
Total moment = 0.000 μB per cell
Symmetry = No. 123
Energy above the lowest structure with this stoichiometry = 0.047 eV per atom

No. 14
VASP calculation (PBE-GGA) on a relaxed Pm3Er4Al4 crystal.

Cell: 9.461 9.461 9.461 Å, 148.53 136.76 54.45°
Element x y z (fractional)
Pm  0.000  0.000  0.000
Pm  0.395  0.895  0.500
Pm  0.605  0.105  0.500
Er  0.051  0.321  0.730
Er  0.409  0.679  0.730
Er  0.591  0.321  0.270
Er  0.949  0.679  0.270
Al  0.181  0.181  0.000
Al  0.306  0.500  0.806
Al  0.694  0.500  0.194
Al  0.819  0.819  0.000

## Properties
ΔH_f (0 K) = -0.195 eV/atom
Total moment = 0.000 μB per cell
Symmetry = No. 71

No. 15
VASP calculation (PBE-GGA) on a relaxed Sr3BW crystal.

Cell: 5.756 5.756 5.756 Å, 90.00 90.00 90.00°
Element x y z (fractional)
Sr  0.000  0.000  0.500
Sr  0.000  0.500  0.000
Sr  0.500  0.000  0.000
B  0.500  0.500  0.500
W  0.000  0.000  0.000

## Properties
ΔH_f (0 K) = 1.840 eV/atom
Total moment = 0.001 μB per cell
Symmetry = No. 221
Energy above the lowest structure with this stoichiometry = 0.540 eV per atom

No. 16
VASP calculation (PBE-GGA) on a relaxed Si3HPd crystal.

Cell: 3.974 3.974 3.974 Å, 90.00 90.00 90.00°
Element x y z (fractional)
Si  0.000  0.000  0.500
Si  0.000  0.500  0.000
Si  0.500  0.000  0.000
H  0.000  0.000  0.000
Pd  0.500  0.500  0.500

## Properties
Total moment = 0.000 μB per cell
Symmetry = No. 221
Energy above the lowest structure with this stoichiometry = 0.000 eV per atom

No. 17
VASP calculation (PBE-GGA) on a relaxed TaTiCoTc crystal.

Cell: 3.125 3.125 6.033 Å, 90.00 90.00 90.00°
Element x y z (fractional)
Ta  0.000  0.000  0.000
Ti  0.000  0.000  0.510
Co  0.500  0.500  0.755
Tc  0.500  0.500  0.261

## Properties
ΔH_f (0 K) = -0.398 eV/atom
Total moment = 0.268 μB per cell
Symmetry = No. 99

No. 18
VASP calculation (PBE-GGA) on a relaxed Fe3Co3Si2 crystal.

Cell: 3.922 3.922 5.771 Å, 90.00 90.00 90.00°
Element x y z (fractional)
Fe  0.000  0.000  0.000
Fe  0.500  0.000  0.248
Fe  0.500  0.000  0.752
Co  0.000  0.000  0.500
Co  0.500  0.500  0.000
Co  0.500  0.500  0.500
Si  0.000  0.500  0.249
Si  0.000  0.500  0.751

## Properties
Energy relative to the elements, uncorrected = -30 kJ/mol of atoms
Total moment = 10.356 μB per cell
Symmetry = No. 47
Energy above the lowest structure with this stoichiometry = 0.061 eV per atom

No. 19
VASP calculation (PBE-GGA) on a relaxed PmPr6Tm2Th crystal.

Cell: 8.906 8.906 9.860 Å, 94.52 94.52 116.03°
Element x y z (fractional)
Pm  0.094  0.906  0.750
Pm  0.906  0.094  0.250
Pr  0.010  0.800  0.380
Pr  0.076  0.511  0.186
Pr  0.200  0.990  0.120
Pr  0.260  0.605  0.558
Pr  0.395  0.740  0.942
Pr  0.489  0.924  0.314
Pr  0.511  0.076  0.686
Pr  0.605  0.260  0.058
Pr  0.740  0.395  0.442
Pr  0.800  0.010  0.880
Pr  0.924  0.489  0.814
Pr  0.990  0.200  0.620
Tm  0.214  0.303  0.948
Tm  0.303  0.214  0.448
Tm  0.697  0.786  0.552
Tm  0.786  0.697  0.052
Th  0.469  0.531  0.250
Th  0.531  0.469  0.750

## Properties
ΔH_f (0 K) = 0.137 eV/atom
Total moment = 0.000 μB per cell
Symmetry = No. 15

No. 20
VASP calculation (PBE-GGA) on a relaxed YReAu2 crystal.

Cell: 9.454 4.120 4.476 Å, 90.00 118.09 90.00°
Element x y z (fractional)
Y  0.000  0.000  0.000
Y  0.500  0.500  0.000
Re  0.000  0.500  0.500
Re  0.500  0.000  0.500
Au  0.236  0.000  0.734
Au  0.264  0.500  0.266
Au  0.736  0.500  0.734
Au  0.764  0.000  0.266

## Properties
ΔH_f (0 K) = 0.103 eV/atom
Total moment = 0.011 μB per cell
Symmetry = No. 12
Energy above the lowest structure with this stoichiometry = 0.076 eV per atom